This record from the Alexandria database describes crystalline Ca2Zn2Cd at its relaxed geometry. The functional is PBE.

Summary:
Total magnetization   0.0000 μB/atom
Formation energy   -0.11 eV per atom
Excess energy over the best structure of this formula in the dataset   177 meV/atom
DOS at the Fermi energy   1.15 states/eV/f.u.

Cell and atoms, written as POSCAR:
```
Ca2Zn2Cd
1.0
5.8753 0.0000 0.0000
0.0000 5.8753 0.0000
0.0000 0.0000 7.7522
Ca Zn Cd
4 4 2
Direct
0.0000 0.5000 0.2500
0.0000 0.5000 0.7500
0.5000 0.0000 0.2500
0.5000 0.0000 0.7500
0.0000 0.0000 0.1508
0.0000 0.0000 0.8492
0.5000 0.5000 0.3492
0.5000 0.5000 0.6508
0.0000 0.0000 0.5000
0.5000 0.5000 0.0000
```

***

This record from the Alexandria database describes crystalline TbPm2Ge3Pt4 at its relaxed geometry. The functional is PBE.

Summary:
Total magnetization   0.0000 μB/atom
Formation energy   -0.96 eV per atom
DOS at the Fermi energy   8.26 states/eV/f.u.

Cell and atoms, written as POSCAR:
```
TbPm2Ge3Pt4
1.0
4.3051 0.0000 0.0000
0.0000 4.3051 0.0000
0.0000 0.0000 11.2056
Tb Pm Ge Pt
1 2 3 4
Direct
0.0000 0.0000 0.0000
0.0000 0.5000 0.7206
0.5000 0.0000 0.2794
0.0000 0.5000 0.3771
0.5000 0.0000 0.6229
0.5000 0.5000 0.0000
0.0000 0.0000 0.5000
0.0000 0.5000 0.1579
0.5000 0.0000 0.8421
0.5000 0.5000 0.5000
```

***

This record from the Alexandria database describes crystalline SrMg2BMo at its relaxed geometry. The functional is PBE.

Summary:
Total magnetization   0.3252 μB/atom
Formation energy   2.69 eV per atom
DOS at the Fermi energy   3.78 states/eV/f.u.

Cell and atoms, written as POSCAR:
```
SrMg2BMo
1.0
5.8616 0.0000 0.0000
0.0000 5.8616 0.0000
0.0000 0.0000 4.9966
Sr Mg B Mo
1 2 1 1
Direct
0.0000 0.0000 0.0000
0.0000 0.5000 0.0000
0.5000 0.0000 0.0000
0.5000 0.5000 0.5000
0.0000 0.0000 0.5000
```

***

> DOS at the Fermi energy of number 3 (SrMg2BMo)?

3.78 states/eV/f.u.